A geometry-optimized ZnCuS2N structure. Source: the Alexandria database, functional GGA-PBE.

a = 4.7363 Å, b = 4.7363 Å, c = 3.5833 Å
α = 90.00°, β = 90.00°, γ = 90.00°
Space group P4/mmm (No. 123)
Inequivalent atoms, fractional coordinates:
Zn 0.0000 0.0000 0.0000 (multiplicity 1)
Cu 0.5000 0.5000 0.5000 (multiplicity 1)
S 0.0000 0.5000 0.5000 (multiplicity 2)
N 0.5000 0.5000 0.0000 (multiplicity 1)

## Properties
For the uncorrected formation energy, the calculation gives 0.898 eV per atom. For the uncorrected energy, the calculation gives -3.4917 eV per atom. For the volume, the calculation gives 16.1 A^3/atom.

A geometry-optimized TbPr2Pt3 structure. Source: the Alexandria database, functional GGA-PBE.

a = 4.1955 Å, b = 5.9090 Å, c = 12.5095 Å
α = 90.00°, β = 90.00°, γ = 90.00°
Space group Immm (No. 71)
Inequivalent atoms, fractional coordinates:
Tb 0.0000 0.0000 0.0000 (multiplicity 2)
Pr 0.0000 0.0000 0.3319 (multiplicity 4)
Pt 0.0000 0.5000 0.0000 (multiplicity 2)
Pt 0.0000 0.5000 0.3404 (multiplicity 4)

## Properties
For the formation energy, the calculation gives -1.0558 eV/atom. For the uncorrected energy, the calculation gives -6.4411 eV per atom. For the volume, the calculation gives 25.8 A^3/atom.